(1)
The following is a DFT calculation (PBE) of AsIr2W after structural relaxation.

## Properties
- DFT total energy (eV per atom) = -8.7632
- DOS at the Fermi energy (states/eV/cell) = 2.6
- symmetry = Cm, No. 8
- E_form (eV/atom) = 0.0680
- density (Mg/m³) = 17.11

The structure in POSCAR format:
```
AsIr2W
1.0
4.953 0.014 -0.010
4.102 2.776 -0.010
0.199 0.061 4.560
As Ir W
1 2 1
Direct
0.246 0.246 0.238
0.756 0.756 0.743
0.024 0.024 0.999
0.474 0.474 0.519
```

***

(2)
The following is a DFT calculation (PBE) of KTe2AsI after structural relaxation.

## Properties
- DFT total energy (eV per atom) = -2.9321
- DOS at the Fermi energy (states/eV/cell) = 6.1
- symmetry = P4/mmm, No. 123
- energy relative to the elements, uncorrected (eV/atom) = -0.216
- density (Mg/m³) = 4.42
- energy relative to the lowest polymorph listed for this composition (eV per formula unit) = 0.00

The structure in POSCAR format:
```
KTe2AsI
1.0
5.560 0.000 0.000
0.000 5.560 0.000
0.000 0.000 6.025
K As Te I
1 1 2 1
Direct
0.500 0.500 0.500
0.000 0.000 0.000
0.000 0.500 0.000
0.500 0.000 0.000
0.000 0.000 0.500
```

***

(3)
The following is a DFT calculation (PBE) of ScSO after structural relaxation.

## Properties
- DFT total energy (eV per atom) = -6.8473
- DOS at the Fermi energy (states/eV/cell) = 12.1
- symmetry = P-62m, No. 189
- energy relative to the elements, uncorrected (eV/atom) = -1.708
- density (Mg/m³) = 3.82

The structure in POSCAR format:
```
ScSO
1.0
-5.700 -2.099 -1.923
2.287 -1.747 5.684
-3.005 5.504 2.901
O Sc S
6 6 6
Direct
0.250 0.000 0.000
0.250 0.000 0.500
0.000 0.250 0.500
0.000 0.250 0.000
0.750 0.750 0.500
0.750 0.750 0.000
0.333 0.667 0.500
0.667 0.333 0.500
0.000 0.000 0.750
0.667 0.333 0.000
0.333 0.667 0.000
0.000 0.000 0.250
0.411 0.411 0.250
0.411 0.411 0.750
0.000 0.589 0.250
0.589 0.000 0.250
0.000 0.589 0.750
0.589 0.000 0.750
```

***

(4)
The following is a DFT calculation (PBE) of RbV2CdTc after structural relaxation.

## Properties
- DFT total energy (eV per atom) = -3.5781
- DOS at the Fermi energy (states/eV/cell) = 8.2
- symmetry = P4/mmm, No. 123
- E_form (eV/atom) = 2.5191
- density (Mg/m³) = 4.40

The structure in POSCAR format:
```
RbV2CdTc
1.0
-2.472 2.830 -3.419
1.958 -3.442 -4.264
-4.096 -2.961 0.510
Rb V Tc Cd
1 2 1 1
Direct
0.000 0.500 0.000
0.000 0.000 0.500
0.500 0.000 0.000
0.500 0.500 0.500
0.000 0.000 0.000
```